Entry 1:
Below is an optimized crystal structure of LiPtI2N, with properties calculated at the PBE level.

energy relative to the lowest polymorph listed for this composition: 0.000 eV/atom
energy: -19.062 eV/cell
space-group type: P4/mmm, No. 123
formation energy without anion corrections: 0.06 eV per atom
calculated volume: 25.39 A^3/atom

abc: 5.812 5.812 3.759
angles: 90.00 90.00 90.00
Atoms (fractional coordinates):
I1 0.500 0.000 0.000
I2 0.000 0.500 0.000
N1 0.000 0.000 0.500
Pt1 0.000 0.000 0.000
Li1 0.500 0.500 0.500



Entry 2:
Below is an optimized crystal structure of MoWC, with properties calculated at the PBE level.

energy relative to the lowest polymorph listed for this composition: 0.951 eV/atom
energy: -30.407 eV/cell
space-group type: F-43m, No. 216
formation energy from the elements: 0.87 eV/atom
calculated volume: 12.94 A^3/atom

abc: 3.801 3.801 3.801
angles: 60.00 60.00 60.00
Atoms (fractional coordinates):
C1 0.750 0.750 0.750
W1 0.500 0.500 0.500
Mo1 0.000 0.000 0.000



Entry 3:
Below is an optimized crystal structure of InCoSb2, with properties calculated at the PBE level.

energy: -16.047 eV/cell
space-group type: Pmmm, No. 47
formation energy without anion corrections: 0.51 eV per atom
calculated volume: 22.42 A^3/atom

abc: 4.990 4.469 4.022
angles: 90.00 90.00 90.00
Atoms (fractional coordinates):
In1 0.000 0.500 0.500
Sb1 0.000 0.000 0.000
Sb2 0.500 0.500 0.000
Co1 0.500 0.000 0.500



Entry 4:
Below is an optimized crystal structure of LuScCuSi, with properties calculated at the PBE level.

energy: -22.166 eV/cell
space-group type: F-43m, No. 216
formation energy without anion corrections: -0.45 eV per atom
calculated volume: 18.55 A^3/atom

abc: 4.717 4.717 4.717
angles: 60.00 60.00 60.00
Atoms (fractional coordinates):
Sc1 0.750 0.750 0.750
Si1 0.500 0.500 0.500
Lu1 0.250 0.250 0.250
Cu1 0.000 0.000 0.000



Entry 5:
Below is an optimized crystal structure of Ba4Pt2Cl, with properties calculated at the PBE level.

energy relative to the lowest polymorph listed for this composition: 0.000 eV/atom
energy: -29.115 eV/cell
space-group type: R-3m, No. 166
formation energy without anion corrections: -1.07 eV per atom
calculated volume: 39.97 A^3/atom

abc: 4.583 4.583 15.610
angles: 81.56 81.56 60.00
Atoms (fractional coordinates):
Pt1 0.419 0.419 0.744
Pt2 0.581 0.581 0.256
Ba1 0.123 0.123 0.631
Ba2 0.286 0.286 0.143
Ba3 0.714 0.714 0.857
Ba4 0.877 0.877 0.369
Cl1 0.000 0.000 0.000



Entry 6:
Below is an optimized crystal structure of TaNbV2, with properties calculated at the PBE level.

energy relative to the lowest polymorph listed for this composition: 0.005 eV/atom
energy: -40.011 eV/cell
space-group type: Fm-3m, No. 225
formation energy from the elements: 0.04 eV/atom
calculated volume: 15.95 A^3/atom

abc: 4.485 4.485 4.485
angles: 60.00 60.00 60.00
Atoms (fractional coordinates):
V1 0.250 0.250 0.250
V2 0.750 0.750 0.750
Nb1 0.000 0.000 0.000
Ta1 0.500 0.500 0.500



Entry 7:
Below is an optimized crystal structure of TbDy2Au, with properties calculated at the PBE level.

energy relative to the lowest polymorph listed for this composition: 0.000 eV/atom
energy: -75.533 eV/cell
space-group type: Pnma, No. 62
formation energy from the elements: -0.44 eV/atom
calculated volume: 28.44 A^3/atom

abc: 6.675 6.970 9.781
angles: 90.00 90.00 90.00
Atoms (fractional coordinates):
Au1 0.955 0.592 0.750
Au2 0.045 0.408 0.250
Au3 0.455 0.908 0.250
Au4 0.545 0.092 0.750
Dy1 0.691 0.805 0.945
Dy2 0.191 0.695 0.445
Dy3 0.309 0.195 0.055
Dy4 0.809 0.305 0.945
Dy5 0.691 0.805 0.555
Dy6 0.309 0.195 0.445
Dy7 0.191 0.695 0.055
Dy8 0.809 0.305 0.555
Tb1 0.880 0.011 0.250
Tb2 0.620 0.511 0.250
Tb3 0.120 0.989 0.750
Tb4 0.380 0.489 0.750



Entry 8:
Below is an optimized crystal structure of FeCuRh2, with properties calculated at the PBE level.

energy: -26.981 eV/cell
space-group type: P4mm, No. 99
formation energy from the elements: 0.07 eV/atom
calculated volume: 13.27 A^3/atom

abc: 2.702 2.702 7.274
angles: 90.00 90.00 90.00
Atoms (fractional coordinates):
Rh1 0.000 0.000 0.992
Rh2 0.500 0.500 0.255
Cu1 0.000 0.000 0.509
Fe1 0.500 0.500 0.744



Entry 9:
Below is an optimized crystal structure of HfSF3, with properties calculated at the PBE level.

energy relative to the lowest polymorph listed for this composition: 2.174 eV/atom
energy: -20.250 eV/cell
space-group type: Pm-3m, No. 221
formation energy without anion corrections: -0.11 eV per atom
calculated volume: 16.18 A^3/atom

abc: 4.325 4.325 4.325
angles: 90.00 90.00 90.00
Atoms (fractional coordinates):
F1 0.000 0.000 0.500
F2 0.000 0.500 0.000
F3 0.500 0.000 0.000
Hf1 0.500 0.500 0.500
S1 0.000 0.000 0.000



Entry 10:
Below is an optimized crystal structure of Na2Ga2HgBr6, with properties calculated at the PBE level.

energy: -29.905 eV/cell
space-group type: P-1, No. 2
formation energy without anion corrections: -0.99 eV per atom
calculated volume: 37.48 A^3/atom

abc: 7.723 7.363 10.866
angles: 113.55 95.91 48.50
Atoms (fractional coordinates):
Na1 0.922 0.232 0.897
Na2 0.078 0.768 0.103
Br1 0.992 0.851 0.621
Br2 0.906 0.611 0.846
Br3 0.008 0.149 0.379
Br4 0.635 0.342 0.129
Br5 0.094 0.389 0.154
Br6 0.365 0.658 0.871
Hg1 0.500 0.000 0.500
Ga1 0.783 0.513 0.309
Ga2 0.217 0.487 0.691



Entry 11:
Below is an optimized crystal structure of NdDy2Y3Te6, with properties calculated at the PBE level.

energy: -68.042 eV/cell
space-group type: C2/m, No. 12
formation energy without anion corrections: -1.32 eV per atom
calculated volume: 29.81 A^3/atom

abc: 4.362 8.814 9.794
angles: 102.65 102.87 90.00
Atoms (fractional coordinates):
Te1 0.001 0.259 0.003
Te2 0.328 0.914 0.657
Te3 0.672 0.086 0.343
Te4 0.332 0.417 0.664
Te5 0.668 0.583 0.336
Te6 0.999 0.741 0.997
Dy1 0.164 0.329 0.328
Dy2 0.836 0.671 0.672
Nd1 0.500 0.000 0.000
Y1 0.500 0.500 0.000
Y2 0.162 0.833 0.323
Y3 0.838 0.167 0.677



Entry 12:
Below is an optimized crystal structure of Nd2Al3ZnCu12, with properties calculated at the PBE level.

energy: -67.205 eV/cell
space-group type: R-3m, No. 166
formation energy from the elements: 0.22 eV/atom
calculated volume: 18.66 A^3/atom

abc: 7.562 7.562 7.562
angles: 64.49 64.49 64.49
Atoms (fractional coordinates):
Cu1 0.016 0.358 0.358
Cu2 0.358 0.358 0.016
Cu3 0.862 0.862 0.353
Cu4 0.138 0.138 0.647
Cu5 0.984 0.642 0.642
Cu6 0.642 0.984 0.642
Cu7 0.138 0.647 0.138
Cu8 0.642 0.642 0.984
Cu9 0.862 0.353 0.862
Cu10 0.358 0.016 0.358
Cu11 0.647 0.138 0.138
Cu12 0.353 0.862 0.862
Nd1 0.401 0.401 0.401
Nd2 0.599 0.599 0.599
Al1 0.000 0.500 0.000
Al2 0.000 0.000 0.500
Al3 0.500 0.000 0.000
Zn1 0.000 0.000 0.000



Entry 13:
Below is an optimized crystal structure of Ca2Pr5Dy4, with properties calculated at the PBE level.

energy: -44.437 eV/cell
space-group type: Immm, No. 71
formation energy from the elements: 0.17 eV/atom
calculated volume: 35.97 A^3/atom

abc: 3.521 11.787 11.346
angles: 121.29 98.93 90.00
Atoms (fractional coordinates):
Pr1 0.178 0.472 0.355
Pr2 0.178 0.883 0.355
Pr3 0.822 0.117 0.645
Pr4 0.822 0.528 0.645
Pr5 0.500 0.000 0.000
Dy1 0.000 0.725 0.000
Dy2 0.586 0.586 0.172
Dy3 0.000 0.275 0.000
Dy4 0.414 0.414 0.828
Ca1 0.193 0.193 0.387
Ca2 0.807 0.807 0.613